DFT (PBE-GGA) results for an optimized crystal structure of Hf2ZrCd.

Results
E_form: -0.0708 eV per atom
crystal system: tetragonal
symmetry: P4mm, No. 99
DOS(E_F): 3.8 states/eV/cell

Cell lengths 3.157, 3.157, 8.919 Å; angles 90.00, 90.00, 90.00 degrees
Positions (direct):
Hf 0.000 0.000 0.000
Hf 0.500 0.500 0.242
Zr 0.000 0.000 0.494
Cd 0.500 0.500 0.749